This record from the Alexandria database describes crystalline W3CO at its relaxed geometry. The functional is GGA+U.

Output
E_tot = -0.4225 Ry/atom

Geometry as CIF:
```
data_W3CO
_cell_length_a 4.164
_cell_length_b 4.164
_cell_length_c 4.164
_cell_angle_alpha 90.00
_cell_angle_beta 90.00
_cell_angle_gamma 90.00
_symmetry_space_group_name_H-M 'P m -3 m'
_symmetry_Int_Tables_number 221
_symmetry_space_group_name_Hall '-P 4 2 3'
loop_
_atom_site_label
_atom_site_fract_x
_atom_site_fract_y
_atom_site_fract_z
W1 0.000 0.000 0.500
C1 0.000 0.000 0.000
O1 0.500 0.500 0.500
```